Record 1
Below is Zn7Pd2Rh3 after structural relaxation, with properties calculated at the PBE level.

abc: 3.7542 4.1688 11.9807
angles: 100.02 90.00 90.00
With the nearest neighbours (Å) after each atom.
Fractional coordinates of all 12 atoms:
1 Zn 0.0000 0.4223 0.8445  4 Rh 2.51-2.62, 6 Zn 2.78-2.81
2 Zn 0.0000 0.7235 0.4470  2 Zn 2.43, 2 Pd 2.56, 2 Rh 2.58
3 Zn 0.0000 0.0000 0.0000  8 Zn 2.69-2.78, 4 Rh 2.81
4 Zn 0.0000 0.5777 0.1555  4 Rh 2.51-2.62, 6 Zn 2.78-2.81
5 Zn 0.5000 0.0819 0.1638  4 Rh 2.61-2.84, 2 Pd 2.64, 6 Zn 2.69-2.81
6 Zn 0.5000 0.9181 0.8362  4 Rh 2.61-2.84, 2 Pd 2.64, 6 Zn 2.69-2.81
7 Zn 0.0000 0.2765 0.5530  2 Zn 2.43, 2 Pd 2.56, 2 Rh 2.58
8 Pd 0.0000 0.8396 0.6793  7 Zn 2.56-2.85, 4 Rh 2.82
9 Pd 0.0000 0.1604 0.3207  7 Zn 2.56-2.85, 4 Rh 2.82
10 Rh 0.5000 0.5000 0.0000  12 Zn 2.62-2.84
11 Rh 0.5000 0.6486 0.2973  6 Zn 2.51-2.61
12 Rh 0.5000 0.3514 0.7027  6 Zn 2.51-2.61

## Properties
size of the total moment: 0.000 μB/atom
energy of formation: -0.2190 eV/atom
E: -3.665 eV per atom

---

Record 2
Below is Ca2YHf after structural relaxation, with properties calculated at the PBE level.

abc: 3.3865 3.3865 12.9155
angles: 82.47 82.47 60.00
With the nearest neighbours (Å) after each atom.
Fractional coordinates of all 4 atoms:
1 Y 0.5000 0.5000 0.5000  6 Y 3.39, 6 Ca 3.70
2 Ca 0.0846 0.0846 0.7463  1 Hf 3.24, 6 Ca 3.39
3 Ca 0.9154 0.9154 0.2537  1 Hf 3.24, 6 Ca 3.39
4 Hf 0.0000 0.0000 0.0000  2 Ca 3.24, 6 Hf 3.39

## Properties
size of the total moment: 0.001 μB/atom
E above lowest polymorph: 38.9 meV per atom
energy of formation: 0.5291 eV/atom
E: -4.576 eV per atom

---

Record 3
Below is PmZnAu4 after structural relaxation, with properties calculated at the PBE level.

abc: 5.5837 5.5837 5.5837
angles: 60.00 60.00 60.00
With the nearest neighbours (Å) after each atom.
Fractional coordinates of all 6 atoms:
1 Zn 0.0000 0.0000 0.0000  12 Au 3.27, 4 Pm 3.42
2 Au 0.6255 0.6255 0.1235  6 Au 2.78-2.80
3 Au 0.6255 0.1235 0.6255  6 Au 2.78-2.80
4 Au 0.6255 0.6255 0.6255  6 Au 2.78-2.80
5 Au 0.1235 0.6255 0.6255  6 Au 2.78-2.80
6 Pm 0.2500 0.2500 0.2500  12 Au 3.27, 4 Zn 3.42

## Properties
size of the total moment: 0.000 μB/atom
E above lowest polymorph: 75.2 meV per atom
energy of formation: -0.3760 eV/atom
E: -3.565 eV per atom

---

Record 4
Below is TlSn2F after structural relaxation, with properties calculated at the PBE level.

abc: 5.0769 5.0769 5.0769
angles: 60.00 60.00 60.00
With the nearest neighbours (Å) after each atom.
Fractional coordinates of all 4 atoms:
1 Tl 0.5000 0.5000 0.5000  8 Sn 3.11
2 Sn 0.2500 0.2500 0.2500  4 Tl 3.11, 4 F 3.11
3 Sn 0.7500 0.7500 0.7500  4 Tl 3.11, 4 F 3.11
4 F 0.0000 0.0000 0.0000  8 Sn 3.11

## Properties
size of the total moment: 0.000 μB/atom
E_form (uncorrected): -0.48 eV/atom
E above lowest polymorph: 54.4 meV per atom
E: -3.543 eV per atom

---

Record 5
Below is AcCeDy after structural relaxation, with properties calculated at the PBE level.

abc: 3.6903 3.6903 8.9312
angles: 90.00 90.00 120.00
With the nearest neighbours (Å) after each atom.
Fractional coordinates of all 3 atoms:
1 Ac 0.0000 0.0000 0.9968  6 Ac 3.69, 3 Ce 3.69, 3 Dy 3.76
2 Ce 0.3333 0.6667 0.6588  3 Dy 3.53, 6 Ce 3.69, 3 Ac 3.69
3 Dy 0.6667 0.3333 0.3443  3 Ce 3.53, 6 Dy 3.69, 3 Ac 3.76

## Properties
size of the total moment: 0.320 μB/atom
E above lowest polymorph: 13.9 meV per atom
energy of formation: 0.1344 eV/atom
E: -4.747 eV per atom

---

Record 6
Below is AcLu2Ag after structural relaxation, with properties calculated at the PBE level.

abc: 5.1981 4.7941 4.7941
angles: 90.00 90.00 90.00
With the nearest neighbours (Å) after each atom.
Fractional coordinates of all 4 atoms:
1 Ac 0.5000 0.5000 0.5000  4 Ag 3.39, 8 Lu 3.54
2 Lu 0.0000 0.0000 0.5000  4 Lu 3.39, 4 Ac 3.54, 4 Ag 3.54
3 Lu 0.0000 0.5000 0.0000  4 Lu 3.39, 4 Ac 3.54, 4 Ag 3.54
4 Ag 0.5000 0.0000 0.0000  4 Ac 3.39, 8 Lu 3.54

## Properties
size of the total moment: 0.003 μB/atom
E above lowest polymorph: 180.8 meV per atom
energy of formation: 0.0844 eV/atom
E: -3.916 eV per atom

---

Record 7
Below is RbMgSn after structural relaxation, with properties calculated at the PBE level.

abc: 4.4844 5.2432 12.2507
angles: 97.71 90.85 115.34
With the nearest neighbours (Å) after each atom.
Fractional coordinates of all 6 atoms:
1 Rb 0.3351 0.1463 0.3147  3 Sn 3.70-3.83, 2 Mg 4.05-4.06
2 Rb 0.6649 0.8537 0.6853  3 Sn 3.70-3.83, 2 Mg 4.05-4.06
3 Mg 0.3430 0.1904 0.9493  5 Sn 2.95-3.14, 3 Mg 3.00-3.24
4 Mg 0.6570 0.8096 0.0507  5 Sn 2.95-3.14, 3 Mg 3.00-3.24
5 Sn 0.0277 0.5655 0.8823  5 Mg 2.95-3.14, 1 Sn 3.04
6 Sn 0.9723 0.4345 0.1177  5 Mg 2.95-3.14, 1 Sn 3.04

## Properties
size of the total moment: 0.000 μB/atom
E above lowest polymorph: 3.9 meV per atom
energy of formation: -0.1833 eV/atom
E: -2.372 eV per atom

---

Record 8
Below is UTl2GaTe5 after structural relaxation, with properties calculated at the PBE level.

abc: 4.3452 10.2008 14.7634
angles: 90.00 90.00 102.30
With the nearest neighbours (Å) after each atom.
Fractional coordinates of all 18 atoms:
1 U 0.8018 0.6035 0.5284  6 Te 2.89-3.09
2 U 0.1982 0.3965 0.0284  6 Te 2.89-3.09
3 Tl 0.8849 0.7698 0.8363  6 Te 3.33-3.70
4 Tl 0.1246 0.2492 0.6805  5 Te 3.35-3.54
5 Tl 0.1151 0.2302 0.3363  6 Te 3.33-3.70
6 Tl 0.8754 0.7508 0.1805  5 Te 3.35-3.54
7 Ga 0.5650 0.1301 0.9188  4 Te 2.57-2.75
8 Ga 0.4350 0.8699 0.4188  4 Te 2.57-2.75
9 Te 0.3429 0.6858 0.0135  1 U 2.89
10 Te 0.6985 0.3971 0.8818  1 Ga 2.72
11 Te 0.5008 0.0016 0.7679  1 Ga 2.57
12 Te 0.3017 0.6035 0.6673  2 U 2.99
13 Te 0.9569 0.9138 0.5294  2 Ga 2.75
14 Te 0.6571 0.3142 0.5135  1 U 2.89
15 Te 0.3015 0.6029 0.3818  1 Ga 2.72
16 Te 0.4992 0.9984 0.2679  1 Ga 2.57
17 Te 0.6983 0.3965 0.1673  2 U 2.99
18 Te 0.0431 0.0862 0.0294  2 Ga 2.75

## Properties
size of the total moment: 0.136 μB/atom
E_form (uncorrected): -0.40 eV/atom
E: -4.262 eV per atom

---

Record 9
Below is ZrAs2RuSe after structural relaxation, with properties calculated at the PBE level.

abc: 5.1576 5.1576 5.1001
angles: 90.00 90.00 90.00
With the nearest neighbours (Å) after each atom.
Fractional coordinates of all 5 atoms:
1 Ru 0.5000 0.5000 0.5000  8 As 3.63, 4 Se 3.65
2 As 0.0000 0.5000 0.0000  2 Zr 2.58
3 As 0.5000 0.0000 0.0000  2 Zr 2.58
4 Se 0.0000 0.0000 0.5000  2 Zr 2.55
5 Zr 0.0000 0.0000 0.0000  2 Se 2.55, 4 As 2.58

## Properties
size of the total moment: 0.474 μB/atom
E_form (uncorrected): 0.80 eV/atom
E above lowest polymorph: 476.1 meV per atom
E: -5.322 eV per atom

---

Record 10
Below is NbWSe2N after structural relaxation, with properties calculated at the PBE level.

abc: 5.1605 5.1605 3.8301
angles: 90.00 90.00 90.00
With the nearest neighbours (Å) after each atom.
Fractional coordinates of all 5 atoms:
1 Nb 0.0000 0.0000 0.0000  2 N 1.92
2 Se 0.0000 0.5000 0.0000  2 Nb 2.58
3 Se 0.5000 0.0000 0.0000  2 Nb 2.58
4 W 0.5000 0.5000 0.5000  8 Se 3.21
5 N 0.0000 0.0000 0.5000  2 Nb 1.92

## Properties
size of the total moment: 0.707 μB/atom
E_form (uncorrected): 0.84 eV/atom
E above lowest polymorph: 390.0 meV per atom
E: -6.821 eV per atom

---

Record 11
Below is GaMoAs2Se after structural relaxation, with properties calculated at the PBE level.

abc: 4.8843 4.8843 5.1019
angles: 90.00 90.00 90.00
With the nearest neighbours (Å) after each atom.
Fractional coordinates of all 5 atoms:
1 Mo 0.0000 0.0000 0.0000  4 As 2.44, 2 Se 2.55
2 Ga 0.5000 0.5000 0.5000  4 Se 3.45, 8 As 3.53
3 As 0.0000 0.5000 0.0000  2 Mo 2.44
4 As 0.5000 0.0000 0.0000  2 Mo 2.44
5 Se 0.0000 0.0000 0.5000  2 Mo 2.55

## Properties
size of the total moment: 0.000 μB/atom
E_form (uncorrected): 0.30 eV/atom
E above lowest polymorph: 0.0 meV per atom
E: -5.026 eV per atom

---

Record 12
Below is NaCd4Pt4 after structural relaxation, with properties calculated at the PBE level.

abc: 6.1184 6.1184 9.7898
angles: 90.00 90.00 90.00
With the nearest neighbours (Å) after each atom.
Fractional coordinates of all 18 atoms:
1 Na 0.0000 0.0000 0.0000  4 Cd 3.19, 8 Pt 3.41
2 Na 0.5000 0.5000 0.5000  4 Cd 3.19, 8 Pt 3.41
3 Cd 0.2348 0.5000 0.7801  5 Pt 2.78-2.86, 1 Cd 2.87
4 Cd 0.7652 0.5000 0.7801  5 Pt 2.78-2.86, 1 Cd 2.87
5 Cd 0.5000 0.7652 0.2199  5 Pt 2.78-2.86, 1 Cd 2.87
6 Cd 0.5000 0.2348 0.2199  5 Pt 2.78-2.86, 1 Cd 2.87
7 Cd 0.0000 0.7348 0.2801  5 Pt 2.78-2.86, 1 Cd 2.87
8 Cd 0.0000 0.2652 0.2801  5 Pt 2.78-2.86, 1 Cd 2.87
9 Cd 0.2652 0.0000 0.7199  5 Pt 2.78-2.86, 1 Cd 2.87
10 Cd 0.7348 0.0000 0.7199  5 Pt 2.78-2.86, 1 Cd 2.87
11 Pt 0.5000 0.7821 0.9281  3 Pt 2.67-2.82, 5 Cd 2.78-2.86
12 Pt 0.5000 0.2179 0.9281  3 Pt 2.67-2.82, 5 Cd 2.78-2.86
13 Pt 0.7821 0.5000 0.0719  3 Pt 2.67-2.82, 5 Cd 2.78-2.86
14 Pt 0.2179 0.5000 0.0719  3 Pt 2.67-2.82, 5 Cd 2.78-2.86
15 Pt 0.2821 0.0000 0.4281  3 Pt 2.67-2.82, 5 Cd 2.78-2.86
16 Pt 0.7179 0.0000 0.4281  3 Pt 2.67-2.82, 5 Cd 2.78-2.86
17 Pt 0.0000 0.2821 0.5719  3 Pt 2.67-2.82, 5 Cd 2.78-2.86
18 Pt 0.0000 0.7179 0.5719  3 Pt 2.67-2.82, 5 Cd 2.78-2.86

## Properties
size of the total moment: 0.000 μB/atom
energy of formation: -0.2533 eV/atom
E: -3.491 eV per atom

---

Record 13
Below is KCu2Br after structural relaxation, with properties calculated at the PBE level.

abc: 6.2438 4.0881 4.0881
angles: 90.00 90.00 90.00
With the nearest neighbours (Å) after each atom.
Fractional coordinates of all 4 atoms:
1 Br 0.5000 0.0000 0.5000  4 K 2.89
2 Cu 0.0000 0.0000 0.0000  4 Cu 2.89
3 Cu 0.0000 0.5000 0.5000  4 Cu 2.89
4 K 0.5000 0.5000 0.0000  4 Br 2.89

## Properties
size of the total moment: 0.000 μB/atom
E_form (uncorrected): 0.13 eV/atom
E above lowest polymorph: 279.9 meV per atom
E: -2.612 eV per atom